No. 1
Zn2WBr | meta-GGA SCAN | single point on PBEsol structure

magnetic moment: 0.00 μB per formula unit
relative energy among the computed polymorphs: 508.3 meV per atom

```
Zn2WBr
1.0
2.898 0.000 0.000
0.000 4.503 0.000
0.000 0.000 4.967
Br W Zn
1 1 2
Direct
0.500 0.000 0.500
0.000 0.500 0.500
0.000 0.000 0.000
0.500 0.500 0.000
```

=====

No. 2
AlHgCl4 | meta-GGA SCAN | single point on PBEsol structure

magnetic moment: 3.06 μB per formula unit
DFT total energy: -17.59 eV/atom

```
AlHgCl4
1.0
5.821 0.000 0.000
2.911 5.041 0.000
2.911 1.680 4.753
Al Hg Cl
1 1 4
Direct
0.000 0.000 0.000
0.750 0.750 0.750
0.376 0.376 0.376
0.376 0.376 0.872
0.872 0.376 0.376
0.376 0.872 0.376
```

=====

No. 3
La3SiI3 | meta-GGA SCAN | single point on PBEsol structure

magnetic moment: 0.00 μB per formula unit
DFT total energy: -37.05 eV/atom

```
La3SiI3
1.0
-6.021 -7.500 4.925
-1.923 -0.248 -10.630
10.460 -2.014 1.816
La Si I
12 4 12
Direct
0.527 0.764 0.014
0.250 0.514 0.486
0.250 0.736 0.264
0.764 0.250 0.236
0.736 0.973 0.486
0.973 0.986 0.236
0.986 0.250 0.014
0.514 0.527 0.264
0.514 0.986 0.750
0.986 0.736 0.473
0.736 0.764 0.750
0.764 0.514 0.027
0.750 0.000 0.000
0.500 0.750 0.500
0.000 0.500 0.250
0.750 0.750 0.250
0.750 0.490 0.510
0.480 0.240 0.990
0.020 0.010 0.760
0.260 0.020 0.510
0.010 0.750 0.990
0.750 0.260 0.740
0.240 0.750 0.760
0.490 0.480 0.740
0.240 0.490 0.980
0.260 0.240 0.250
0.010 0.260 0.520
0.490 0.010 0.250
```

=====

No. 4
CaCd2Rh2 | meta-GGA SCAN | single point on PBEsol structure

magnetic moment: 0.00 μB per formula unit
formation energy: -249 meV/atom
relative energy among the computed polymorphs: 0.0 meV per atom

```
CaCd2Rh2
1.0
3.231 0.000 0.000
0.000 7.542 0.000
0.000 0.000 7.542
Ca Rh Cd
2 4 4
Direct
0.000 0.000 0.000
0.000 0.500 0.500
0.000 0.368 0.868
0.000 0.868 0.632
0.000 0.632 0.132
0.000 0.132 0.368
0.500 0.162 0.662
0.500 0.662 0.838
0.500 0.838 0.338
0.500 0.338 0.162
```

=====

| no. | volume (Å³/f.u.) |
| --- | --- |
| 1 | 64.81 |
| 2 | 139.49 |
| 3 | 242.81 |
| 4 | 91.88 |